This record from Alexandria via LeMat-Bulk describes a geometry-optimized AcSmTeSe structure. The functional is PBE.

Cell: 5.129 5.129 10.423 Å, 90.00 90.00 90.00°
Fractional positions:
Ac 0.000 0.500 0.846
Ac 0.500 0.000 0.154
Sm 0.000 0.000 0.500
Sm 0.500 0.500 0.500
Te 0.500 0.000 0.680
Te 0.000 0.500 0.320
Se 0.500 0.500 0.000
Se 0.000 0.000 0.000

Computed properties:
Raw formation energy = -1357 meV per atom
Energy relative to the lowest polymorph listed for this composition = 0.065 eV per atom

***

This record from Alexandria via LeMat-Bulk describes a geometry-optimized AcSm2ThSe4 structure. The functional is PBE.

Cell: 4.207 7.442 7.341 Å, 70.99 90.00 90.00°
Fractional positions:
Ac 0.500 0.500 0.000
Sm 0.000 0.000 0.000
Sm 0.500 0.000 0.500
Th 0.000 0.500 0.500
Se 0.000 0.765 0.738
Se 0.000 0.235 0.262
Se 0.500 0.760 0.254
Se 0.500 0.240 0.746

Computed properties:
Raw formation energy = -1736 meV per atom

***

This record from Alexandria via LeMat-Bulk describes a geometry-optimized AcSm2Tl3Se6 structure. The functional is PBE.

Cell: 7.577 7.577 8.141 Å, 98.93 98.93 119.94°
Fractional positions:
Ac 0.000 0.000 0.000
Sm 0.333 0.667 0.000
Sm 0.667 0.333 0.000
Tl 0.165 0.835 0.500
Tl 0.835 0.165 0.500
Tl 0.500 0.500 0.500
Se 0.929 0.581 0.788
Se 0.722 0.722 0.209
Se 0.071 0.419 0.212
Se 0.581 0.929 0.788
Se 0.278 0.278 0.791
Se 0.419 0.071 0.212

Computed properties:
Raw formation energy = -1398 meV per atom

***

This record from Alexandria via LeMat-Bulk describes a geometry-optimized Ac3SmTl4Se8 structure. The functional is PBE.

Cell: 9.001 9.309 9.000 Å, 118.93 120.00 90.00°
Fractional positions:
Ac 0.500 0.500 0.000
Ac 0.500 0.500 0.500
Ac 0.000 0.500 0.500
Sm 0.000 0.500 0.000
Tl 0.500 0.000 0.000
Tl 0.500 0.000 0.500
Tl 0.000 0.000 0.000
Tl 0.000 0.000 0.500
Se 0.231 0.714 0.982
Se 0.232 0.714 0.463
Se 0.260 0.280 0.520
Se 0.751 0.714 0.982
Se 0.249 0.286 0.018
Se 0.740 0.720 0.480
Se 0.768 0.286 0.537
Se 0.769 0.286 0.018

Computed properties:
Raw formation energy = -1419 meV per atom

***

This record from Alexandria via LeMat-Bulk describes a geometry-optimized Ac2SmTmSe6 structure. The functional is PBE.

Cell: 7.591 7.590 7.855 Å, 61.10 61.10 60.00°
Fractional positions:
Ac 0.528 0.528 0.417
Ac 0.027 0.027 0.920
Sm 0.816 0.816 0.551
Tm 0.318 0.318 0.046
Se 0.593 0.187 0.261
Se 0.187 0.959 0.261
Se 0.959 0.593 0.261
Se 0.450 0.681 0.766
Se 0.681 0.103 0.766
Se 0.103 0.450 0.766

Computed properties:
Raw formation energy = -1915 meV per atom

***

This record from Alexandria via LeMat-Bulk describes a geometry-optimized Ac3Sm2TmSe6 structure. The functional is PBE.

Cell: 7.315 7.315 7.655 Å, 99.18 99.18 120.16°
Fractional positions:
Ac 0.171 0.829 0.500
Ac 0.829 0.171 0.500
Ac 0.500 0.500 0.500
Sm 0.333 0.667 0.000
Sm 0.667 0.333 0.000
Tm 0.000 0.000 0.000
Se 0.926 0.602 0.778
Se 0.752 0.752 0.227
Se 0.074 0.398 0.222
Se 0.602 0.926 0.778
Se 0.248 0.248 0.773
Se 0.398 0.074 0.222

Computed properties:
Raw formation energy = -1810 meV per atom

***

This record from Alexandria via LeMat-Bulk describes a geometry-optimized AcSm2TmSe4 structure. The functional is PBE.

Cell: 4.132 7.193 7.524 Å, 71.56 90.00 90.00°
Fractional positions:
Ac 0.500 0.500 0.000
Sm 0.000 0.000 0.000
Sm 0.500 0.000 0.500
Tm 0.000 0.500 0.500
Se 0.000 0.757 0.730
Se 0.000 0.243 0.270
Se 0.500 0.744 0.269
Se 0.500 0.256 0.731

Computed properties:
Raw formation energy = -1756 meV per atom

***

This record from Alexandria via LeMat-Bulk describes a geometry-optimized Ac4Sm3TmSe8 structure. The functional is PBE.

Cell: 8.479 8.725 8.480 Å, 119.07 120.00 90.00°
Fractional positions:
Ac 0.500 0.000 0.000
Ac 0.500 0.000 0.500
Ac 0.000 0.000 0.000
Ac 0.000 0.000 0.500
Sm 0.500 0.500 0.000
Sm 0.500 0.500 0.500
Sm 0.000 0.500 0.500
Tm 0.000 0.500 0.000
Se 0.237 0.724 0.986
Se 0.237 0.723 0.474
Se 0.257 0.271 0.514
Se 0.749 0.724 0.986
Se 0.251 0.276 0.014
Se 0.743 0.729 0.486
Se 0.763 0.277 0.526
Se 0.763 0.276 0.014

Computed properties:
Raw formation energy = -1810 meV per atom